# DyVSi, optimized geometry, DFT GGA-PBE
data_DyVSi
_symmetry_space_group_name_H-M 'P 1'
_symmetry_Int_Tables_number 1
_symmetry_space_group_name_Hall 'P 1'
_cell_length_a 4.2819
_cell_length_b 4.2819
_cell_length_c 3.8094
_cell_angle_alpha 90.00
_cell_angle_beta 90.00
_cell_angle_gamma 120.00
loop_
_atom_site_label
_atom_site_fract_x
_atom_site_fract_y
_atom_site_fract_z
_atom_site_occupancy
Dy1 0.0000 0.0000 0.0000 1
V1 0.3333 0.6667 0.5000 1
Si1 0.6667 0.3333 0.5000 1
# ΔE_f (raw), meV per atom: -228
# Calculated volume, Å³/f.u.: 60.5

# DyVSi, optimized geometry, DFT GGA-PBE
data_DyVSi
_symmetry_space_group_name_H-M 'P 1'
_symmetry_Int_Tables_number 1
_symmetry_space_group_name_Hall 'P 1'
_cell_length_a 5.5950
_cell_length_b 5.5950
_cell_length_c 7.1125
_cell_angle_alpha 122.29
_cell_angle_beta 122.29
_cell_angle_gamma 39.19
loop_
_atom_site_label
_atom_site_fract_x
_atom_site_fract_y
_atom_site_fract_z
_atom_site_occupancy
Dy1 0.0739 0.0739 0.3042 1
Dy2 0.9261 0.9261 0.6958 1
V1 0.2961 0.2961 0.9262 1
V2 0.7039 0.7039 0.0738 1
Si1 0.3654 0.3654 0.3302 1
Si2 0.6346 0.6346 0.6698 1
# ΔE_f (raw), meV per atom: -402
# Calculated volume, Å³/f.u.: 57.9

# DySi2W, optimized geometry, DFT GGA-PBE
data_DySi2W
_symmetry_space_group_name_H-M 'P 1'
_symmetry_Int_Tables_number 1
_symmetry_space_group_name_Hall 'P 1'
_cell_length_a 6.6090
_cell_length_b 6.6090
_cell_length_c 6.6090
_cell_angle_alpha 33.14
_cell_angle_beta 33.14
_cell_angle_gamma 33.14
loop_
_atom_site_label
_atom_site_fract_x
_atom_site_fract_y
_atom_site_fract_z
_atom_site_occupancy
Dy1 0.0000 0.0000 0.0000 1
Si1 0.2356 0.2356 0.2356 1
Si2 0.7644 0.7644 0.7644 1
W1 0.5000 0.5000 0.5000 1
# ΔE_f (raw), meV per atom: -156
# Calculated volume, Å³/f.u.: 76.8

- Which of these has the highest ΔE_f (raw)?
  DySi2W